NdCdRh: relaxed, PBE.

```
NdCdRh
1.0
-3.0375 -0.4964 -2.0505
0.3108 -4.6172 0.6573
-2.4488 2.6269 2.9916
Nd Rh Cd
1 1 1
Direct
0.6665 0.6667 0.3333
0.1671 0.3333 0.6667
0.1664 0.0000 0.0000
```

Properties
The total magnetic moment comes out at 0.00 Bohr magnetons per cell. For the final energy, the calculation gives -14.15 eV per formula unit. For the energy relative to the elements, the calculation gives -0.3711 eV/atom. For the calculated volume, the calculation gives 23.3 Å³/atom. As for the space group: P-6m2, No. 187. The density of states at the Fermi level is 0.741 states/eV/atom.

***

Cs2Zn3F10: relaxed, PBE.

```
Cs2Zn3F10
1.0
6.0097 0.0000 -1.9559
-0.9631 8.0935 -2.9592
-0.0240 0.0909 10.1370
Cs F Zn
4 20 6
Direct
0.6146 0.7245 0.2292
0.7125 0.3057 0.4251
0.3854 0.2755 0.7708
0.2875 0.6943 0.5749
0.5000 0.0000 0.5000
0.9193 0.4611 0.2721
0.1936 0.5000 0.0000
0.2228 0.2345 0.4456
0.4787 0.8409 0.9573
0.8589 0.2267 0.7178
0.9789 0.8249 0.9579
0.0000 0.0000 0.5000
0.0807 0.5389 0.7279
0.7772 0.7655 0.5544
0.1260 0.9857 0.7915
0.5213 0.1591 0.0427
0.3528 0.4611 0.2721
0.6472 0.5389 0.7279
0.8740 0.0143 0.2085
0.3345 0.0143 0.2085
0.1411 0.7733 0.2822
0.8064 0.5000 0.0000
0.6655 0.9857 0.7915
0.0211 0.1751 0.0421
0.9337 0.5662 0.8674
0.2499 0.0000 0.0000
0.7501 0.0000 0.0000
0.1780 0.0048 0.3560
0.8220 0.9952 0.6440
0.0663 0.4338 0.1326
```

Properties
The total magnetic moment comes out at 4.25 Bohr magnetons per cell. For the final energy, the calculation gives -56.64 eV per formula unit. For the formation energy without anion corrections, the calculation gives -2.16 eV per atom. For the calculated volume, the calculation gives 16.5 Å³/atom. As for the space group: C2/m, No. 12. The density of states at the Fermi level is 0.674 states/eV/atom.

***

Np2Pa2S5: relaxed, PBE.

```
Np2Pa2S5
1.0
7.3994 0.0000 0.0000
0.0000 6.5204 -3.3519
0.0000 -0.1014 7.8207
S Np Pa
10 4 4
Direct
0.5000 0.5000 0.0000
0.8462 0.7969 0.2772
0.1538 0.2031 0.7228
0.1538 0.4803 0.2772
0.0000 0.0000 0.0000
0.8462 0.5197 0.7228
0.6538 0.0197 0.7228
0.3462 0.9803 0.2772
0.3462 0.7031 0.7228
0.6538 0.2969 0.2772
0.0000 0.1988 0.3976
0.0000 0.8012 0.6024
0.5000 0.6988 0.3976
0.5000 0.3012 0.6024
0.1556 0.6510 0.0000
0.8444 0.3490 0.0000
0.3444 0.1510 0.0000
0.6556 0.8490 0.0000
```

Properties
The total magnetic moment comes out at 23.53 Bohr magnetons per cell. For the final energy, the calculation gives -78.20 eV per formula unit. For the formation energy without anion corrections, the calculation gives -1.41 eV per atom. For the calculated volume, the calculation gives 20.8 Å³/atom. As for the space group: Cmce, No. 64. The density of states at the Fermi level is 2.543 states/eV/atom.

***

Ca2PrNi: relaxed, PBE.

```
Ca2PrNi
1.0
3.6877 0.0000 0.0000
1.8438 3.1936 0.0000
1.8438 1.0645 10.7814
Ca Pr Ni
2 1 1
Direct
0.8875 0.8875 0.3375
0.1125 0.1125 0.6625
0.0000 0.0000 0.0000
0.5000 0.5000 0.5000
```

Properties
The total magnetic moment comes out at 0.00 Bohr magnetons per cell. For the final energy, the calculation gives -13.79 eV per formula unit. The energy above the most stable polymorph in this dataset comes out at 287 meV per atom. For the energy relative to the elements, the calculation gives 0.1931 eV/atom. For the calculated volume, the calculation gives 31.7 Å³/atom. As for the space group: R-3m, No. 166. The density of states at the Fermi level is 0.902 states/eV/atom.

***

RbZrZn2F8: relaxed, PBE.

```
RbZrZn2F8
1.0
-4.1907 -1.5867 -3.0504
-0.6875 -5.2551 -1.1387
-6.2706 -3.1540 5.4387
Zn F Rb Zr
2 8 1 1
Direct
0.2482 0.2482 0.2554
0.7518 0.7518 0.7446
0.1733 0.1733 0.4800
0.3685 0.7455 0.8501
0.6315 0.2545 0.1499
0.7455 0.0359 0.8501
0.9641 0.6315 0.1499
0.0359 0.3685 0.8501
0.8267 0.8267 0.5200
0.2545 0.9641 0.1499
0.5000 0.5000 0.5000
0.0000 0.0000 0.0000
```

Properties
The total magnetic moment comes out at 0.59 Bohr magnetons per cell. For the final energy, the calculation gives -58.88 eV per formula unit. For the formation energy without anion corrections, the calculation gives -2.65 eV per atom. For the calculated volume, the calculation gives 17.6 Å³/atom. As for the space group: R-3, No. 148. The density of states at the Fermi level is 0.402 states/eV/atom.

***

Cs3KOs: relaxed, PBE.

```
Cs3KOs
1.0
6.5956 0.0000 0.0000
0.0000 6.5956 0.0000
0.0000 0.0000 6.5956
Cs K Os
3 1 1
Direct
0.0000 0.5000 0.0000
0.5000 0.0000 0.0000
0.0000 0.0000 0.5000
0.5000 0.5000 0.5000
0.0000 0.0000 0.0000
```

Properties
The total magnetic moment comes out at 0.00 Bohr magnetons per cell. For the final energy, the calculation gives -9.44 eV per formula unit. For the energy relative to the elements, the calculation gives 1.0895 eV/atom. For the calculated volume, the calculation gives 57.4 Å³/atom. As for the space group: Pm-3m, No. 221. The density of states at the Fermi level is 1.300 states/eV/atom.

***

Zr2TaCo: relaxed, PBE.

```
Zr2TaCo
1.0
-8.7843 1.5579 -1.1744
-8.7694 0.7765 1.8617
-8.1315 3.7220 0.9980
Zr Ta Co
2 1 1
Direct
0.5098 0.5098 0.5098
0.9902 0.9902 0.9902
0.7500 0.7500 0.7500
0.2500 0.2500 0.2500
```

Properties
The total magnetic moment comes out at 0.10 Bohr magnetons per cell. For the final energy, the calculation gives -35.50 eV per formula unit. The energy above the most stable polymorph in this dataset comes out at 222 meV per atom. For the energy relative to the elements, the calculation gives 0.1384 eV/atom. For the calculated volume, the calculation gives 18.8 Å³/atom. As for the space group: R-3m, No. 166. The density of states at the Fermi level is 1.235 states/eV/atom.

***

HgRhCl2: relaxed, PBE.

```
HgRhCl2
1.0
-1.5674 1.4058 -3.1639
-3.4553 -0.8755 -1.3182
-5.4576 7.1683 3.2778
Cl Rh Hg
2 1 1
Direct
0.9416 0.9416 0.1088
0.5584 0.5584 0.3912
0.2500 0.2500 0.2500
0.7500 0.7500 0.7500
```

Properties
The total magnetic moment comes out at 1.00 Bohr magnetons per cell. For the final energy, the calculation gives -12.21 eV per formula unit. For the formation energy without anion corrections, the calculation gives -0.22 eV per atom. The energy above the most stable polymorph in this dataset comes out at 81 meV per atom. For the calculated volume, the calculation gives 27.3 Å³/atom. As for the space group: C2/m, No. 12.

***

UGaSnSb: relaxed, PBE.

```
UGaSnSb
1.0
-2.5527 3.1356 1.3937
-3.2531 -1.6614 -2.2204
1.5798 -3.6418 4.5252
Sn Ga Sb U
1 1 1 1
Direct
0.1956 0.6956 0.3912
0.6954 0.1954 0.3909
0.9455 0.9455 0.8910
0.4456 0.4456 0.8913
```

Properties
The total magnetic moment comes out at 2.39 Bohr magnetons per cell. For the final energy, the calculation gives -22.95 eV per formula unit. For the formation energy without anion corrections, the calculation gives -0.13 eV per atom. For the calculated volume, the calculation gives 23.8 Å³/atom. As for the space group: I-4m2, No. 119. The density of states at the Fermi level is 1.839 states/eV/atom.

***

KMgMo2: relaxed, PBE.

```
KMgMo2
1.0
-5.5445 7.9841 -5.7757
-7.7026 6.1234 -5.5695
-7.2169 7.9871 -3.4593
K Mo Mg
1 2 1
Direct
0.2500 0.2500 0.2500
0.4899 0.4899 0.4899
0.0101 0.0101 0.0101
0.7500 0.7500 0.7500
```

Properties
The total magnetic moment comes out at 0.00 Bohr magnetons per cell. For the final energy, the calculation gives -20.42 eV per formula unit. For the energy relative to the elements, the calculation gives 0.9835 eV/atom. For the calculated volume, the calculation gives 19.8 Å³/atom. As for the space group: R-3m, No. 166. The density of states at the Fermi level is 1.177 states/eV/atom.

***

MnPCS: relaxed, PBE.

```
MnPCS
1.0
-0.3212 -0.0840 2.9141
-1.9961 -1.2712 -1.7326
10.9173 -18.0725 0.6827
S Mn P C
3 3 3 3
Direct
0.0000 0.0000 0.1229
0.6667 0.3333 0.4563
0.3333 0.6667 0.7896
0.0000 0.0000 0.3927
0.6667 0.3333 0.7261
0.3333 0.6667 0.0594
0.0000 0.0000 0.9282
0.6667 0.3333 0.2615
0.3333 0.6667 0.5948
0.0000 0.0000 0.2970
0.6667 0.3333 0.6303
0.3333 0.6667 0.9636
```

Properties
The total magnetic moment comes out at 1.07 Bohr magnetons per cell. For the final energy, the calculation gives -27.18 eV per formula unit. For the formation energy without anion corrections, the calculation gives 0.19 eV per atom. The energy above the most stable polymorph in this dataset comes out at 65 meV per atom. For the calculated volume, the calculation gives 13.1 Å³/atom. As for the space group: R3m, No. 160. The density of states at the Fermi level is 0.694 states/eV/atom.

***

Tl2Hg2Ge: relaxed, PBE.

```
Tl2Hg2Ge
1.0
-4.2344 -0.0269 1.2145
0.2366 -4.3380 0.7287
0.0311 -0.8780 8.0777
Tl Ge Hg
2 1 2
Direct
0.7500 0.2500 0.5000
0.2500 0.7500 0.5000
0.0000 0.0000 0.0000
0.5931 0.5931 0.8139
0.4069 0.4069 0.1861
```

Properties
The total magnetic moment comes out at 0.00 Bohr magnetons per cell. For the final energy, the calculation gives -8.16 eV per formula unit. The energy above the most stable polymorph in this dataset comes out at 213 meV per atom. For the energy relative to the elements, the calculation gives 0.3582 eV/atom. For the calculated volume, the calculation gives 29.1 Å³/atom. As for the space group: I4/mmm, No. 139. The density of states at the Fermi level is 0.649 states/eV/atom.

***

| no. | mass density (g/cm³) |
| --- | --- |
| 1 | 8.5 |
| 2 | 4.4 |
| 3 | 9.7 |
| 4 | 3.7 |
| 5 | 3.6 |
| 6 | 3.6 |
| 7 | 9.3 |
| 8 | 5.7 |
| 9 | 9.6 |
| 10 | 5.4 |
| 11 | 4.1 |
| 12 | 10.1 |